An optimized crystal structure of La8AuSe3I4, computed with PBE.

Results
* symmetry: R-3m
* formation energy from raw total energies: -2096.5 kJ/mol of formula units

a b c (Å): 9.1884 9.1884 9.1884
angles (deg): 57.09 57.09 57.09
Sites, in units of the cell vectors:
1 La 0.2334 0.7389 0.7389
2 La 0.2355 0.2355 0.2355
3 La 0.2611 0.2611 0.7666
4 La 0.2611 0.7666 0.2611
5 La 0.7389 0.2334 0.7389
6 La 0.7389 0.7389 0.2334
7 La 0.7645 0.7645 0.7645
8 La 0.7666 0.2611 0.2611
9 Au 0.5000 0.5000 0.5000
10 Se 0.0000 0.0000 0.5000
11 Se 0.0000 0.5000 0.0000
12 Se 0.5000 0.0000 0.0000
13 I 0.0000 0.0000 0.0000
14 I 0.0000 0.5000 0.5000
15 I 0.5000 0.0000 0.5000
16 I 0.5000 0.5000 0.0000